(1)
Crystalline Gd at its relaxed geometry. Source: OQMD via LeMat-Bulk, functional PBE.

formation energy: 0.44 eV per atom
polymorph energy (0 for the lowest one): 440 meV per atom

Unit cell a=3.394 b=4.693 c=4.693 alpha=97.51 beta=68.80 gamma=111.20
Fractional positions:
Gd (0.000, 0.000, 0.000)
Gd (0.250, 0.500, 0.500)

=====

(2)
Crystalline AcFeBi at its relaxed geometry. Source: OQMD via LeMat-Bulk, functional PBE.

polymorph energy (0 for the lowest one): 0 meV per atom

Unit cell a=4.900 b=4.900 c=4.900 alpha=60.00 beta=60.00 gamma=60.00
Site moments in Bohr magnetons follow the coordinates.
Fractional positions:
Ac (0.000, 0.000, 0.000)  -0.01
Bi (0.500, 0.500, 0.500)  0.00
Fe (0.250, 0.250, 0.250)  2.07

=====

(3)
Crystalline DyThPb at its relaxed geometry. Source: OQMD via LeMat-Bulk, functional PBE.

polymorph energy (0 for the lowest one): 0 meV per atom

Unit cell a=5.262 b=5.262 c=5.262 alpha=60.00 beta=60.00 gamma=60.00
Fractional positions:
Dy (0.000, 0.000, 0.000)
Pb (0.750, 0.750, 0.750)
Th (0.500, 0.500, 0.500)

=====

(4)
Crystalline Tb2Be2GeO7 at its relaxed geometry. Source: OQMD via LeMat-Bulk, functional PBE.

final energy: -181.19 eV for the cell shown

Unit cell a=7.410 b=7.410 c=4.793 alpha=90.00 beta=90.00 gamma=90.00
Fractional positions:
Be (0.365, 0.135, 0.047)
Be (0.635, 0.865, 0.047)
Be (0.865, 0.365, 0.953)
Be (0.135, 0.635, 0.953)
Ge (0.000, 0.000, 0.000)
Ge (0.500, 0.500, 0.000)
O (0.500, 0.000, 0.183)
O (0.172, 0.081, 0.217)
O (0.419, 0.328, 0.217)
O (0.581, 0.672, 0.217)
O (0.828, 0.919, 0.217)
O (0.857, 0.357, 0.283)
O (0.143, 0.643, 0.283)
O (0.357, 0.143, 0.717)
O (0.643, 0.857, 0.717)
O (0.919, 0.172, 0.783)
O (0.672, 0.419, 0.783)
O (0.328, 0.581, 0.783)
O (0.081, 0.828, 0.783)
O (0.000, 0.500, 0.817)
Tb (0.158, 0.342, 0.495)
Tb (0.842, 0.658, 0.495)
Tb (0.658, 0.158, 0.505)
Tb (0.342, 0.842, 0.505)

=====

(5)
Crystalline KNpSn at its relaxed geometry. Source: OQMD via LeMat-Bulk, functional PBE.

final energy: -14.68 eV for the cell shown

Unit cell a=5.261 b=5.261 c=5.261 alpha=60.00 beta=60.00 gamma=60.00
Site moments in Bohr magnetons follow the coordinates.
Fractional positions:
K (0.000, 0.000, 0.000)  0.00
Np (0.250, 0.250, 0.250)  4.27
Sn (0.750, 0.750, 0.750)  -0.17

=====

(6)
Crystalline Tb3DyCo8 at its relaxed geometry. Source: OQMD via LeMat-Bulk, functional PBE.

formation energy: -0.17 eV per atom

Unit cell a=8.723 b=8.723 c=8.723 alpha=33.48 beta=33.48 gamma=33.48
Site moments in Bohr magnetons follow the coordinates.
Fractional positions:
Co (0.188, 0.188, 0.188)  0.16
Co (0.437, 0.937, 0.437)  -0.56
Co (0.937, 0.437, 0.437)  -0.41
Co (0.938, 0.938, 0.438)  0.90
Co (0.687, 0.687, 0.687)  0.17
Co (0.437, 0.437, 0.937)  -0.45
Co (0.938, 0.438, 0.938)  1.02
Co (0.438, 0.938, 0.938)  0.82
Dy (0.876, 0.876, 0.876)  -0.02
Tb (0.374, 0.374, 0.374)  -0.13
Tb (0.501, 0.501, 0.501)  -0.13
Tb (0.999, 0.999, 0.999)  -0.02